# Rb2HfMnO | Alexandria | PBE with a Hubbard U | optimized geometry
data_Rb2HfMnO
_cell_length_a 6.466
_cell_length_b 5.176
_cell_length_c 6.466
_cell_angle_alpha 90.00
_cell_angle_beta 90.00
_cell_angle_gamma 90.00
_symmetry_space_group_name_H-M 'P 1'
_symmetry_Int_Tables_number 1
loop_
_symmetry_equiv_pos_as_xyz
'x,y,z'
loop_
_atom_site_label
_atom_site_type_symbol
_atom_site_fract_x
_atom_site_fract_y
_atom_site_fract_z
O1 O 0.500 0.500 0.500
Rb1 Rb 0.500 0.000 0.000
Rb2 Rb 0.000 0.000 0.500
Hf1 Hf 0.000 0.500 0.000
Mn1 Mn 0.000 0.000 0.000
# DOS at the Fermi energy = 7.1 states/eV per cell
# Crystal system = tetragonal
# Spin magnetization = 0.506 μB/atom
# E_tot = -17.6 eV for the cell shown
# Calculated volume = 43.29 Å³/atom